Compound: Ba2NaPt
Source: the Alexandria database
Functional: PBE
Structure: relaxed

a b c (Å): 4.5888 4.5888 30.0487
angles (deg): 90.00 90.00 120.00
With the nearest neighbours (Å) after each atom.
Atoms (fractional coordinates):
Ba1 0.0000 0.0000 0.0000  3 Pt 3.15
Ba2 0.0000 0.0000 0.2198  3 Pt 3.15
Ba3 0.3333 0.6667 0.6667  3 Pt 3.15
Ba4 0.3333 0.6667 0.8865  3 Pt 3.15
Ba5 0.6667 0.3333 0.3333  3 Pt 3.15
Ba6 0.6667 0.3333 0.5531  3 Pt 3.15
Na1 0.0000 0.0000 0.4441  6 Ba 4.21-4.25, 6 Na 4.59
Na2 0.3333 0.6667 0.1108  6 Ba 4.21-4.25, 6 Na 4.59
Na3 0.6667 0.3333 0.7775  6 Ba 4.21-4.25, 6 Na 4.59
Pt1 0.0000 0.0000 0.6097  6 Ba 3.15
Pt2 0.3333 0.6667 0.2763  6 Ba 3.15
Pt3 0.6667 0.3333 0.9430  6 Ba 3.15

Properties
ΔH_f (0 K): -0.447 eV/atom
DFT total energy: -3.25 eV per atom
SG: No. 160
Total magnetization: 0.00 μB per cell

***

Compound: SrReP2Cl
Source: the Alexandria database
Functional: PBE
Structure: relaxed

a b c (Å): 5.4710 5.4710 5.0947
angles (deg): 90.00 90.00 90.00
With the nearest neighbours (Å) after each atom.
Atoms (fractional coordinates):
Sr1 0.0000 0.0000 0.0000  2 Cl 2.55, 4 P 2.74
Re1 0.5000 0.5000 0.5000  8 P 3.74, 4 Cl 3.87
P1 0.0000 0.5000 0.0000  2 Sr 2.74
P2 0.5000 0.0000 0.0000  2 Sr 2.74
Cl1 0.0000 0.0000 0.5000  2 Sr 2.55

Properties
DFT total energy: -3.41 eV per atom
Uncorrected formation energy: 1.9518 eV/atom
SG: No. 123
Energy above the lowest structure with this stoichiometry: 2.383 eV per atom
Total magnetization: 0.07 μB per cell

***

Compound: CsZn2PbCl8
Source: the Alexandria database
Functional: PBE
Structure: relaxed

a b c (Å): 11.2843 11.2843 11.2843
angles (deg): 33.45 33.45 33.45
With the nearest neighbours (Å) after each atom.
Atoms (fractional coordinates):
Cs1 0.0000 0.0000 0.0000  12 Cl 3.79-4.12
Zn1 0.2461 0.2461 0.2461  4 Cl 2.23-2.31
Zn2 0.7539 0.7539 0.7539  4 Cl 2.23-2.31
Pb1 0.5000 0.5000 0.5000  6 Cl 2.81
Cl1 0.1140 0.4404 0.7758  1 Zn 2.31
Cl2 0.2242 0.5596 0.8860  1 Zn 2.31
Cl3 0.3159 0.3159 0.3159  1 Zn 2.23
Cl4 0.4404 0.7758 0.1140  1 Zn 2.31
Cl5 0.5596 0.8860 0.2242  1 Zn 2.31
Cl6 0.6841 0.6841 0.6841  1 Zn 2.23
Cl7 0.7758 0.1140 0.4404  1 Zn 2.31
Cl8 0.8860 0.2242 0.5596  1 Zn 2.31

Properties
DFT total energy: -2.97 eV per atom
Uncorrected formation energy: -1.1456 eV/atom
SG: No. 155
Total magnetization: 0.00 μB per cell

***

Compound: CaTbTlIr
Source: the Alexandria database
Functional: PBE
Structure: relaxed

a b c (Å): 7.2187 7.2187 7.2187
angles (deg): 90.00 90.00 90.00
With the nearest neighbours (Å) after each atom.
Atoms (fractional coordinates):
Ca1 0.0000 0.0000 0.0000  4 Tl 3.13, 4 Ir 3.13
Ca2 0.0000 0.5000 0.5000  4 Tl 3.13, 4 Ir 3.13
Ca3 0.5000 0.0000 0.5000  4 Tl 3.13, 4 Ir 3.13
Ca4 0.5000 0.5000 0.0000  4 Tl 3.13, 4 Ir 3.13
Tb1 0.0000 0.0000 0.5000  4 Ir 3.13, 4 Tl 3.13
Tb2 0.0000 0.5000 0.0000  4 Ir 3.13, 4 Tl 3.13
Tb3 0.5000 0.0000 0.0000  4 Ir 3.13, 4 Tl 3.13
Tb4 0.5000 0.5000 0.5000  4 Ir 3.13, 4 Tl 3.13
Tl1 0.2500 0.2500 0.2500  4 Tb 3.13, 4 Ca 3.13
Tl2 0.2500 0.7500 0.7500  4 Tb 3.13, 4 Ca 3.13
Tl3 0.7500 0.2500 0.7500  4 Tb 3.13, 4 Ca 3.13
Tl4 0.7500 0.7500 0.2500  4 Tb 3.13, 4 Ca 3.13
Ir1 0.2500 0.2500 0.7500  4 Tb 3.13, 4 Ca 3.13
Ir2 0.2500 0.7500 0.2500  4 Tb 3.13, 4 Ca 3.13
Ir3 0.7500 0.2500 0.2500  4 Tb 3.13, 4 Ca 3.13
Ir4 0.7500 0.7500 0.7500  4 Tb 3.13, 4 Ca 3.13

Properties
ΔH_f (0 K): -0.358 eV/atom
DFT total energy: -4.82 eV per atom
SG: No. 216
Total magnetization: 0.00 μB per cell

***

Compound: Ac4ZnCo3
Source: the Alexandria database
Functional: PBE
Structure: relaxed

a b c (Å): 4.2065 4.2666 12.3250
angles (deg): 90.00 90.00 90.00
With the nearest neighbours (Å) after each atom.
Atoms (fractional coordinates):
Ac1 0.0000 0.0000 0.0000  4 Co 3.17, 2 Zn 3.21
Ac2 0.0000 0.5000 0.4935  6 Co 3.01-3.22
Ac3 0.5000 0.0000 0.7262  4 Zn 3.15, 2 Co 3.15
Ac4 0.5000 0.5000 0.2269  6 Co 2.99-3.21
Zn1 0.0000 0.5000 0.8054  2 Co 2.50
Co1 0.0000 0.0000 0.3211  2 Co 2.30
Co2 0.5000 0.0000 0.3971  2 Co 2.30
Co3 0.5000 0.5000 0.9147  2 Zn 2.50

Properties
ΔH_f (0 K): -0.035 eV/atom
DFT total energy: -4.91 eV per atom
SG: No. 25
Total magnetization: 1.40 μB per cell

***

Compound: Mg2ScHg
Source: the Alexandria database
Functional: PBE
Structure: relaxed

a b c (Å): 3.2590 4.9035 5.6595
angles (deg): 90.00 99.26 90.00
With the nearest neighbours (Å) after each atom.
Atoms (fractional coordinates):
Mg1 0.1453 0.0000 0.2553  2 Mg 2.89-3.07, 2 Hg 2.89, 2 Sc 3.16
Mg2 0.8547 0.0000 0.7447  2 Mg 2.89-3.07, 2 Hg 2.89, 2 Sc 3.16
Sc1 0.5000 0.5000 0.0000  2 Hg 3.03, 4 Mg 3.16, 2 Sc 3.26
Hg1 0.0000 0.5000 0.5000  4 Mg 2.89, 2 Sc 3.03

Properties
ΔH_f (0 K): -0.143 eV/atom
DFT total energy: -2.60 eV per atom
SG: No. 10
Total magnetization: 0.00 μB per cell

***

Compound: GaTeAsN2
Source: the Alexandria database
Functional: PBE
Structure: relaxed

a b c (Å): 3.8127 3.8127 6.8671
angles (deg): 90.00 90.00 90.00
With the nearest neighbours (Å) after each atom.
Atoms (fractional coordinates):
Ga1 0.0000 0.0000 0.0000  4 Te 2.70
Te1 0.5000 0.5000 0.0000  4 Ga 2.70
As1 0.5000 0.5000 0.5000  4 N 1.91
N1 0.0000 0.5000 0.5000  2 As 1.91
N2 0.5000 0.0000 0.5000  2 As 1.91

Properties
DFT total energy: -4.32 eV per atom
Uncorrected formation energy: 1.1766 eV/atom
SG: No. 123
Energy above the lowest structure with this stoichiometry: 0.000 eV per atom
Total magnetization: 0.43 μB per cell

***

Compound: Ba2LiCe
Source: the Alexandria database
Functional: PBE
Structure: relaxed

a b c (Å): 3.8177 3.8177 39.7028
angles (deg): 90.00 90.00 120.00
With the nearest neighbours (Å) after each atom.
Atoms (fractional coordinates):
Ba1 0.0000 0.0000 0.0902  1 Ce 3.58, 3 Li 3.75, 6 Ba 3.82
Ba2 0.0000 0.0000 0.9098  1 Ce 3.58, 3 Li 3.75, 6 Ba 3.82
Ba3 0.3333 0.6667 0.5764  1 Ce 3.58, 3 Li 3.75, 6 Ba 3.82
Ba4 0.3333 0.6667 0.7569  1 Ce 3.58, 3 Li 3.75, 6 Ba 3.82
Ba5 0.6667 0.3333 0.2431  1 Ce 3.58, 3 Li 3.75, 6 Ba 3.82
Ba6 0.6667 0.3333 0.4236  1 Ce 3.58, 3 Li 3.75, 6 Ba 3.82
Li1 0.0000 0.0000 0.5000  6 Ba 3.75, 6 Li 3.82
Li2 0.3333 0.6667 0.1667  6 Ba 3.75, 6 Li 3.82
Li3 0.6667 0.3333 0.8333  6 Ba 3.75, 6 Li 3.82
Ce1 0.0000 0.0000 0.0000  2 Ba 3.58, 6 Ce 3.82
Ce2 0.3333 0.6667 0.6667  2 Ba 3.58, 6 Ce 3.82
Ce3 0.6667 0.3333 0.3333  2 Ba 3.58, 6 Ce 3.82

Properties
ΔH_f (0 K): 0.420 eV/atom
DFT total energy: -2.50 eV per atom
SG: No. 166
Total magnetization: 5.26 μB per cell

***

Compound: TlCdSnHg
Source: the Alexandria database
Functional: PBE
Structure: relaxed

a b c (Å): 7.5774 7.5774 7.5774
angles (deg): 90.00 90.00 90.00
With the nearest neighbours (Å) after each atom.
Atoms (fractional coordinates):
Tl1 0.0000 0.0000 0.0000  4 Hg 3.28, 4 Cd 3.28
Tl2 0.0000 0.5000 0.5000  4 Hg 3.28, 4 Cd 3.28
Tl3 0.5000 0.0000 0.5000  4 Hg 3.28, 4 Cd 3.28
Tl4 0.5000 0.5000 0.0000  4 Hg 3.28, 4 Cd 3.28
Cd1 0.2500 0.2500 0.2500  4 Tl 3.28, 4 Sn 3.28
Cd2 0.2500 0.7500 0.7500  4 Tl 3.28, 4 Sn 3.28
Cd3 0.7500 0.2500 0.7500  4 Tl 3.28, 4 Sn 3.28
Cd4 0.7500 0.7500 0.2500  4 Tl 3.28, 4 Sn 3.28
Sn1 0.0000 0.0000 0.5000  4 Hg 3.28, 4 Cd 3.28
Sn2 0.0000 0.5000 0.0000  4 Hg 3.28, 4 Cd 3.28
Sn3 0.5000 0.0000 0.0000  4 Hg 3.28, 4 Cd 3.28
Sn4 0.5000 0.5000 0.5000  4 Hg 3.28, 4 Cd 3.28
Hg1 0.2500 0.2500 0.7500  4 Tl 3.28, 4 Sn 3.28
Hg2 0.2500 0.7500 0.2500  4 Tl 3.28, 4 Sn 3.28
Hg3 0.7500 0.2500 0.2500  4 Tl 3.28, 4 Sn 3.28
Hg4 0.7500 0.7500 0.7500  4 Tl 3.28, 4 Sn 3.28

Properties
ΔH_f (0 K): 0.087 eV/atom
DFT total energy: -1.81 eV per atom
SG: No. 216
Energy above the lowest structure with this stoichiometry: 0.053 eV per atom
Total magnetization: 0.00 μB per cell

***

Compound: Nd8Tl
Source: the Alexandria database
Functional: PBE
Structure: relaxed

a b c (Å): 8.1663 8.1663 8.1663
angles (deg): 95.48 95.48 144.00
With the nearest neighbours (Å) after each atom.
Atoms (fractional coordinates):
Nd1 0.0000 0.3340 0.3340  11 Nd 3.61-3.72, 1 Tl 3.67
Nd2 0.0000 0.6660 0.6660  11 Nd 3.61-3.72, 1 Tl 3.67
Nd3 0.3340 0.0000 0.3340  11 Nd 3.61-3.72, 1 Tl 3.67
Nd4 0.3390 0.3390 0.6780  10 Nd 3.54-3.74, 2 Tl 3.55
Nd5 0.3390 0.6610 0.0000  10 Nd 3.54-3.74, 2 Tl 3.55
Nd6 0.6610 0.3390 0.0000  10 Nd 3.54-3.74, 2 Tl 3.55
Nd7 0.6610 0.6610 0.3220  10 Nd 3.54-3.74, 2 Tl 3.55
Nd8 0.6660 0.0000 0.6660  11 Nd 3.61-3.72, 1 Tl 3.67
Tl1 0.0000 0.0000 0.0000  12 Nd 3.55-3.67

Properties
ΔH_f (0 K): -0.040 eV/atom
DFT total energy: -4.54 eV per atom
SG: No. 139
Total magnetization: 0.00 μB per cell

***

Compound: TmMn6Al6
Source: the Alexandria database
Functional: PBE
Structure: relaxed

a b c (Å): 6.6040 6.6040 6.6040
angles (deg): 136.25 99.12 96.84
With the nearest neighbours (Å) after each atom.
Atoms (fractional coordinates):
Tm1 0.0000 0.0000 0.0000  8 Al 2.89-3.03, 4 Mn 3.18
Mn1 0.0000 0.0000 0.5000  4 Mn 2.46-2.52, 6 Al 2.52-2.62
Mn2 0.0000 0.5000 0.0000  4 Mn 2.46-2.52, 6 Al 2.52-2.62
Mn3 0.2360 0.5000 0.7360  4 Mn 2.52, 6 Al 2.61-2.65
Mn4 0.5000 0.0000 0.0000  4 Mn 2.46-2.52, 6 Al 2.52-2.62
Mn5 0.5000 0.5000 0.5000  4 Mn 2.46-2.52, 6 Al 2.52-2.62
Mn6 0.7640 0.5000 0.2640  4 Mn 2.52, 6 Al 2.61-2.65
Al1 0.1946 0.6946 0.5000  6 Mn 2.52-2.65, 2 Al 2.80
Al2 0.3373 0.0000 0.3373  6 Mn 2.61-2.62, 1 Al 2.79, 1 Tm 2.89
Al3 0.3460 0.3460 0.0000  6 Mn 2.61-2.63, 3 Al 2.70-2.80
Al4 0.6540 0.6540 0.0000  6 Mn 2.61-2.63, 3 Al 2.70-2.80
Al5 0.6627 0.0000 0.6627  6 Mn 2.61-2.62, 1 Al 2.79, 1 Tm 2.89
Al6 0.8054 0.3054 0.5000  6 Mn 2.52-2.65, 2 Al 2.80

Properties
ΔH_f (0 K): -0.244 eV/atom
DFT total energy: -6.55 eV per atom
SG: No. 71
Total magnetization: 6.83 μB per cell

***

Compound: HfBi2Pb
Source: the Alexandria database
Functional: PBE
Structure: relaxed

a b c (Å): 6.9837 6.9837 13.8623
angles (deg): 90.00 90.00 90.00
With the nearest neighbours (Å) after each atom.
Atoms (fractional coordinates):
Hf1 0.0000 0.0000 0.0000  4 Bi 2.86
Hf2 0.0000 0.5000 0.2500  4 Bi 2.86
Hf3 0.5000 0.0000 0.7500  4 Bi 2.86
Hf4 0.5000 0.5000 0.5000  4 Bi 2.86
Bi1 0.2091 0.2500 0.1250  2 Hf 2.86, 2 Pb 3.19
Bi2 0.2500 0.7091 0.3750  2 Hf 2.86, 2 Pb 3.19
Bi3 0.2500 0.7909 0.8750  2 Hf 2.86, 2 Pb 3.19
Bi4 0.2909 0.2500 0.6250  2 Hf 2.86, 2 Pb 3.19
Bi5 0.7091 0.7500 0.6250  2 Hf 2.86, 2 Pb 3.19
Bi6 0.7500 0.2091 0.8750  2 Hf 2.86, 2 Pb 3.19
Bi7 0.7500 0.2909 0.3750  2 Hf 2.86, 2 Pb 3.19
Bi8 0.7909 0.7500 0.1250  2 Hf 2.86, 2 Pb 3.19
Pb1 0.0000 0.0000 0.5000  4 Bi 3.19
Pb2 0.0000 0.5000 0.7500  4 Bi 3.19
Pb3 0.5000 0.0000 0.2500  4 Bi 3.19
Pb4 0.5000 0.5000 0.0000  4 Bi 3.19

Properties
ΔH_f (0 K): 0.308 eV/atom
DFT total energy: -5.05 eV per atom
SG: No. 122
Total magnetization: 0.00 μB per cell